Below is a relaxed DyHoP2Ir2O2 crystal, with properties calculated at the PBE level.

Unit cell a=3.948 b=3.948 c=7.979 alpha=90.00 beta=90.00 gamma=90.00
Element x y z (fractional)
Dy 0.000 0.000 0.000
Ho 0.500 0.500 0.269
P 0.000 0.000 0.470
P 0.500 0.500 0.800
Ir 0.000 0.500 0.635
Ir 0.500 0.000 0.635
O 0.000 0.500 0.135
O 0.500 0.000 0.135

Results
The total energy is -0.29145 hartree per atom. Its space-group type is P4mm, No. 99. The value obtained for the total magnetic moment is 0.00 μB per cell.

Below is a relaxed Dy2HoIrPd2Pb3 crystal, with properties calculated at the PBE level.

Unit cell a=3.873 b=7.793 c=7.793 alpha=119.98 beta=90.00 gamma=90.00
Element x y z (fractional)
Dy 0.000 0.198 0.802
Dy 0.000 0.802 0.198
Ho 0.000 0.406 0.406
Ir 0.000 0.801 0.801
Pd 0.500 0.136 0.468
Pd 0.500 0.468 0.136
Pb 0.500 0.067 0.067
Pb 0.500 0.536 0.802
Pb 0.500 0.802 0.536

Results
The total energy is -0.20475 hartree per atom. Its space-group type is Amm2, No. 38. The value obtained for the total magnetic moment is 0.01 μB per cell.